# 1
Density functional theory data (PBE) for a relaxed Ba3Tb3YSe8 crystal.

Results
Formation energy without anion corrections in eV/atom: -1.93
Volume in A^3/atom: 31.1

Cell and atoms, written as extended XYZ:
```
15
Lattice="8.452 0.000 0.000 -4.226 7.322 -0.027 0.000 -4.854 7.552" Properties=species:S:1:pos:R:3 pbc="T T T"
Ba 0.000 0.000 0.000
Ba -2.113 3.661 -0.014
Ba 2.113 3.661 -0.014
Tb 4.226 -2.427 3.776
Tb 2.113 1.234 3.762
Tb -2.113 1.234 3.762
Y 0.000 -2.427 3.776
Se 0.000 2.447 2.144
Se 4.226 0.020 5.381
Se 4.226 2.440 2.163
Se 0.000 0.027 5.362
Se 6.332 -1.209 2.176
Se -2.106 3.676 5.348
Se 2.120 -1.209 2.176
Se 2.106 3.676 5.348
```

---

# 2
Density functional theory data (PBE) for a relaxed Ba2TbZrSe6 crystal.

Results
Formation energy without anion corrections in eV/atom: -1.58
Volume in A^3/atom: 31.7

Cell and atoms, written as extended XYZ:
```
20
Lattice="-1.011 -7.536 -1.100 2.250 0.757 -7.257 10.236 -1.809 2.985" Properties=species:S:1:pos:R:3 pbc="T T T"
Ba 3.596 -3.596 -5.502
Ba 7.973 -1.152 0.560
Ba 9.125 -4.573 -3.889
Ba 3.266 -0.320 -0.812
Tb 5.152 -4.491 -0.800
Tb 1.710 0.575 -5.514
Zr 6.773 -0.348 -3.847
Zr 0.089 -3.568 -2.467
Se 2.523 -4.030 -1.538
Se 7.766 -4.957 -0.009
Se 4.339 0.115 -4.776
Se 9.333 -0.768 -3.320
Se 7.062 -2.053 -5.868
Se 6.557 -5.815 -6.417
Se 5.968 -2.299 -2.267
Se 5.429 -6.316 -2.853
Se 0.422 -5.136 -4.560
Se 0.894 -1.617 -4.047
Se -0.199 -1.863 -0.446
Se -0.706 -5.637 -0.997
```

---

# 3
Density functional theory data (PBE) for a relaxed BaTc2Se crystal.

Results
Formation energy without anion corrections in eV/atom: -0.17
Volume in A^3/atom: 24.0

Cell and atoms, written as extended XYZ:
```
4
Lattice="-1.193 3.447 2.158 -3.474 -0.114 2.424 1.861 -0.718 6.336" Properties=species:S:1:pos:R:3 pbc="T T T"
Ba -1.420 1.316 5.436
Se -1.090 0.862 2.183
Tc 1.742 -0.655 6.169
Tc -1.582 1.681 8.925
```

---

# 4
Density functional theory data (PBE) for a relaxed BaTc2Se crystal.

Results
Formation energy without anion corrections in eV/atom: 0.37
Volume in A^3/atom: 25.1

Cell and atoms, written as extended XYZ:
```
4
Lattice="5.423 -0.090 -0.035 0.379 5.411 0.035 -1.867 -3.788 3.404" Properties=species:S:1:pos:R:3 pbc="T T T"
Ba 2.845 2.609 0.000
Se 0.319 1.787 1.719
Tc 5.746 5.269 0.000
Tc 3.727 -0.151 1.684
```

---

# 5
Density functional theory data (PBE) for a relaxed BaTc2Se crystal.

Results
Formation energy without anion corrections in eV/atom: 0.21
Volume in A^3/atom: 21.3

Cell and atoms, written as extended XYZ:
```
4
Lattice="3.295 0.000 0.000 0.000 3.295 0.000 0.000 0.000 7.853" Properties=species:S:1:pos:R:3 pbc="T T T"
Ba 0.000 0.000 3.893
Se 1.648 1.648 6.427
Tc 0.000 0.000 0.116
Tc 1.648 1.648 1.343
```

---

# 6
Density functional theory data (PBE) for a relaxed Ba4TcSe crystal.

Results
Formation energy without anion corrections in eV/atom: 0.79
Volume in A^3/atom: 40.8

Cell and atoms, written as extended XYZ:
```
6
Lattice="0.000 4.965 4.965 4.965 0.000 4.965 4.965 4.965 0.000" Properties=species:S:1:pos:R:3 pbc="T T T"
Ba 3.723 6.207 6.207
Ba 6.207 6.207 3.723
Ba 6.207 3.723 6.207
Ba 3.723 3.723 3.723
Tc 0.000 0.000 0.000
Se 7.448 7.448 7.448
```

---

# 7
Density functional theory data (PBE) for a relaxed Ba2TcSe crystal.

Results
Formation energy without anion corrections in eV/atom: 0.14
Volume in A^3/atom: 39.0

Cell and atoms, written as extended XYZ:
```
8
Lattice="-3.879 5.098 -5.728 0.491 -6.241 -5.887 -5.452 -2.037 -4.567" Properties=species:S:1:pos:R:3 pbc="T T T"
Ba -3.687 1.846 -5.400
Ba -1.580 -3.721 -5.595
Ba -5.355 -2.019 -7.840
Ba -7.058 -2.465 -13.529
Se -1.694 -0.571 -5.807
Se -3.328 -4.424 -8.131
Tc 0.000 0.000 0.000
Tc -5.512 1.245 -8.051
```

---

# 8
Density functional theory data (PBE) for a relaxed BaTcSe2 crystal.

Results
E above lowest polymorph in meV per atom: 560
Formation energy without anion corrections in eV/atom: -0.17
Volume in A^3/atom: 22.9

Cell and atoms, written as extended XYZ:
```
4
Lattice="0.672 -1.314 4.843 -2.057 2.791 3.689 -3.882 -1.824 2.690" Properties=species:S:1:pos:R:3 pbc="T T T"
Ba -2.633 -0.174 5.611
Se -1.317 -0.087 2.805
Se -3.950 -0.261 8.416
Tc 0.000 0.000 0.000
```

---

Size of the total moment, record by record: 0.00, 0.00, 0.00, 0.00, 0.00, 1.61, 3.00, 1.00 μB/f.u.